First-principles (PBE) data for a relaxed NaNpCu2F8 crystal, as listed in Alexandria.

Values from the calculation:
- Uncorrected formation energy: -2.344 eV/atom
- Calculated total energy: -5.463 eV/atom
- Magnetization: 2.0 μB/cell
- Fermi-level density of states: 11.2 states/eV/cell

```
data_NaNpCu2F8
_chemical_formula_sum 'Na1 Np1 Cu2 F8'
_symmetry_space_group_name_H-M 'P 1'
_symmetry_Int_Tables_number 1
_symmetry_space_group_name_Hall 'P 1'
_cell_length_a 8.687
_cell_length_b 8.687
_cell_length_c 8.687
_cell_angle_alpha 33.65
_cell_angle_beta 33.65
_cell_angle_gamma 33.65
loop_
_atom_site_label
_atom_site_fract_x
_atom_site_fract_y
_atom_site_fract_z
Na1 0.000 0.000 0.000
Np1 0.500 0.500 0.500
Cu1 0.272 0.272 0.272
Cu2 0.728 0.728 0.728
F1 0.102 0.784 0.457
F2 0.216 0.543 0.898
F3 0.348 0.348 0.348
F4 0.457 0.102 0.784
F5 0.543 0.898 0.216
F6 0.652 0.652 0.652
F7 0.784 0.457 0.102
F8 0.898 0.216 0.543
```